TiZnBi2Ir, optimized geometry, DFT PBE; N(E_F) = 5.73 states/eV per cell; space group = P4/mmm; E_form = 539 kJ/mol of formula units
1.0
5.254 0.000 0.000
0.000 5.254 0.000
0.000 0.000 4.785
Ti Zn Bi Ir
1 1 2 1
Cartesian
0.000 0.000 0.000 Ti
0.000 0.000 2.392 Zn
0.000 2.627 0.000 Bi
2.627 0.000 0.000 Bi
2.627 2.627 2.392 Ir